VASP calculation (PBE+U) on a geometry-optimized Na3PaNi2O6 structure.

Cell lengths 5.506, 5.506, 5.810 Å; angles 98.77, 98.77, 120.15 degrees
Site moments in Bohr magnetons follow the coordinates.
Positions (direct):
1 Ni 0.334 0.666 0.000  1.75
2 Ni 0.666 0.334 0.000  1.75
3 O 0.593 0.930 0.790  0.07
4 O 0.268 0.268 0.787  0.07
5 O 0.407 0.070 0.210  0.07
6 O 0.732 0.732 0.213  0.07
7 O 0.070 0.407 0.210  0.07
8 O 0.930 0.593 0.790  0.07
9 Na 0.500 0.500 0.500  0.00
10 Na 0.179 0.821 0.500  0.00
11 Na 0.821 0.179 0.500  0.00
12 Pa 0.000 0.000 0.000  0.00

Calculated values
* SG: C2/m, No. 12
* DFT total energy: -72.78 eV/f.u.
* DOS(E_F): 0.00 states/eV/f.u.